Tb3PmTh4S8 | GGA-PBE | optimized geometry Values from VASP.

**SG**: No. 166
**Formation energy without anion corrections**: -30.77 eV per formula unit

Geometry as Quantum ESPRESSO input:
```
&SYSTEM
  ibrav = 0, nat = 16, ntyp = 4
/
ATOMIC_SPECIES
Tb 158.93 Tb.upf
Pm 145.00 Pm.upf
Th 232.04 Th.upf
S 32.06 S.upf
CELL_PARAMETERS angstrom
7.8792 0.0000 0.0000
0.0000 8.1100 0.1563
-3.9396 -3.9352 5.5753
ATOMIC_POSITIONS angstrom
Tb 3.9396 4.0550 0.0782
Tb 1.9698 2.0874 2.8658
Tb -1.9698 2.0874 2.8658
Pm 0.0000 4.0550 0.0782
Th 3.9396 0.0000 0.0000
Th 1.9698 -1.9676 2.7876
Th 0.0000 0.0000 0.0000
Th -1.9698 -1.9676 2.7876
S -1.9447 2.0958 5.6385
S 0.0000 4.0385 2.8863
S 0.0000 0.1355 2.8800
S 1.9447 2.0958 5.6385
S 1.9949 2.0790 0.0932
S 3.9396 4.0393 2.8516
S 3.9396 0.1364 2.8453
S 5.8844 2.0790 0.0932
```



Tb2PmThS4 | GGA-PBE | optimized geometry Values from VASP.

**SG**: No. 10
**Formation energy without anion corrections**: -15.73 eV per formula unit

Geometry as Quantum ESPRESSO input:
```
&SYSTEM
  ibrav = 0, nat = 8, ntyp = 4
/
ATOMIC_SPECIES
Tb 158.93 Tb.upf
Pm 145.00 Pm.upf
Th 232.04 Th.upf
S 32.06 S.upf
CELL_PARAMETERS angstrom
-1.4895 3.5038 1.0526
-6.4295 -2.6157 -0.3912
-1.7571 -2.5881 6.1289
ATOMIC_POSITIONS angstrom
Tb -1.7571 -2.5881 6.1289
Tb -1.6233 0.4578 3.5907
Pm -3.9595 0.4440 0.3307
Th -4.0933 -2.6019 2.8689
S -6.2028 -3.9229 4.2808
S -3.4733 2.2228 2.5095
S -6.0715 -0.8748 1.7320
S -3.6046 -0.8253 5.0583
```



TbPm4Th3S8 | GGA-PBE | optimized geometry Values from VASP.

**SG**: No. 166
**Formation energy without anion corrections**: -31.22 eV per formula unit

Geometry as Quantum ESPRESSO input:
```
&SYSTEM
  ibrav = 0, nat = 16, ntyp = 4
/
ATOMIC_SPECIES
Tb 158.93 Tb.upf
Pm 145.00 Pm.upf
Th 232.04 Th.upf
S 32.06 S.upf
CELL_PARAMETERS angstrom
8.0231 0.0000 0.0000
0.0000 8.0688 0.0280
-4.0116 -4.0068 5.6755
ATOMIC_POSITIONS angstrom
Tb 0.0000 4.0344 0.0140
Pm 4.0116 0.0000 0.0000
Pm 2.0058 -2.0034 2.8378
Pm 0.0000 0.0000 0.0000
Pm -2.0058 -2.0034 2.8378
Th 4.0116 4.0344 0.0140
Th 2.0058 2.0310 2.8518
Th -2.0058 2.0310 2.8518
S 1.9731 6.0308 0.0294
S 0.0000 4.0601 2.8213
S 0.0000 -0.0050 2.8315
S 6.0500 6.0308 0.0294
S -2.0385 -1.9688 5.6741
S 4.0116 4.0670 2.8721
S 4.0116 0.0019 2.8823
S 2.0385 -1.9688 5.6741
```



Tb2Pm3ThS6 | GGA-PBE | optimized geometry Values from VASP.

**SG**: No. 12
**Formation energy without anion corrections**: -23.84 eV per formula unit

Geometry as Quantum ESPRESSO input:
```
&SYSTEM
  ibrav = 0, nat = 12, ntyp = 4
/
ATOMIC_SPECIES
Tb 158.93 Tb.upf
Pm 145.00 Pm.upf
Th 232.04 Th.upf
S 32.06 S.upf
CELL_PARAMETERS angstrom
-2.2873 -0.5214 3.2356
4.3472 -6.4243 2.0378
5.2858 6.8042 2.3648
ATOMIC_POSITIONS angstrom
Tb 4.5330 -0.1845 5.6430
Tb 2.8128 0.0430 1.9953
Pm 1.0300 -3.4729 2.6367
Pm 2.3622 3.0672 4.6324
Pm 4.9835 -3.2086 3.0058
Th -1.1436 -0.2607 1.6178
S 6.6954 -1.5004 4.4913
S 2.7736 -1.7505 4.1469
S 0.6503 1.3589 3.1470
S 1.1305 -1.5897 0.5430
S 6.2152 1.4482 7.0953
S 4.5721 1.6090 3.4914
```



TbPm3Th4S8 | GGA-PBE | optimized geometry Values from VASP.

**SG**: No. 166
**Formation energy without anion corrections**: -30.85 eV per formula unit

Geometry as Quantum ESPRESSO input:
```
&SYSTEM
  ibrav = 0, nat = 16, ntyp = 4
/
ATOMIC_SPECIES
Tb 158.93 Tb.upf
Pm 145.00 Pm.upf
Th 232.04 Th.upf
S 32.06 S.upf
CELL_PARAMETERS angstrom
7.9580 0.0000 0.0000
0.0000 8.1324 0.1182
-3.9790 -3.9735 5.6298
ATOMIC_POSITIONS angstrom
Tb 0.0000 4.0662 0.0591
Pm 3.9790 4.0662 0.0591
Pm 1.9895 2.0794 2.8740
Pm -1.9895 2.0794 2.8740
Th 3.9790 0.0000 0.0000
Th 1.9895 -1.9867 2.8149
Th 0.0000 0.0000 0.0000
Th -1.9895 -1.9867 2.8149
S -2.0153 2.0779 5.7029
S 0.0000 4.0904 2.8516
S 0.0000 0.0690 2.8604
S 2.0153 2.0779 5.7029
S 1.9637 2.0810 0.0451
S 3.9790 4.0899 2.8876
S 3.9790 0.0685 2.8964
S 5.9943 2.0810 0.0451
```



Tb2PmTh3S6 | GGA-PBE | optimized geometry Values from VASP.

**SG**: No. 12
**Formation energy without anion corrections**: -22.97 eV per formula unit

Geometry as Quantum ESPRESSO input:
```
&SYSTEM
  ibrav = 0, nat = 12, ntyp = 4
/
ATOMIC_SPECIES
Tb 158.93 Tb.upf
Pm 145.00 Pm.upf
Th 232.04 Th.upf
S 32.06 S.upf
CELL_PARAMETERS angstrom
6.8374 0.0260 0.0111
-3.3945 5.9353 0.0111
-1.1371 -1.9689 6.6802
ATOMIC_POSITIONS angstrom
Tb 0.0132 3.9672 0.0111
Tb 3.4297 1.9941 0.0111
Pm 0.0000 0.0000 0.0000
Th -2.2864 3.9825 3.3512
Th 4.5921 0.0099 3.3512
Th 1.1529 1.9962 3.3512
S 3.4543 1.9753 5.0895
S 2.2776 3.9436 1.5991
S -1.1486 2.0171 1.6129
S -0.0154 3.9791 5.0895
S 0.0282 0.0488 5.1033
S 2.3211 0.0132 1.6129
```



TbPm2Tl3S6 | GGA-PBE | optimized geometry Values from VASP.

**SG**: No. 12
**Formation energy without anion corrections**: -17.67 eV per formula unit

Geometry as Quantum ESPRESSO input:
```
&SYSTEM
  ibrav = 0, nat = 12, ntyp = 4
/
ATOMIC_SPECIES
Tb 158.93 Tb.upf
Pm 145.00 Pm.upf
Tl 204.38 Tl.upf
S 32.06 S.upf
CELL_PARAMETERS angstrom
-0.8997 6.4732 -2.8529
2.6889 -5.2938 -3.9491
-7.5278 -2.3063 0.1122
ATOMIC_POSITIONS angstrom
Tb 0.0000 0.0000 0.0000
Pm 1.4927 -1.3714 -3.5837
Pm 0.2965 2.5508 -3.2183
Tl -1.6759 -4.4766 -3.7095
Tl -4.0627 3.3498 -2.9803
Tl -2.8693 -0.5634 -3.3449
S -5.2259 0.9917 -4.9626
S -0.1995 0.4059 -5.0098
S -0.5127 -2.1185 -1.7272
S -4.0504 -2.8626 -5.3217
S -5.5391 -1.5328 -1.6801
S -1.6882 1.7357 -1.3681
```



TbPmTl2S4 | GGA-PBE | optimized geometry Values from VASP.

**SG**: No. 10
**Formation energy without anion corrections**: -11.80 eV per formula unit

Geometry as Quantum ESPRESSO input:
```
&SYSTEM
  ibrav = 0, nat = 8, ntyp = 4
/
ATOMIC_SPECIES
Tb 158.93 Tb.upf
Pm 145.00 Pm.upf
Tl 204.38 Tl.upf
S 32.06 S.upf
CELL_PARAMETERS angstrom
-2.7289 2.3583 1.9492
1.4530 -3.3528 6.0908
4.9071 6.1333 -0.5507
ATOMIC_POSITIONS angstrom
Tb 0.0000 0.0000 0.0000
Pm -0.6380 -0.4972 4.0200
Tl 1.0891 4.2458 0.6993
Tl 3.1801 1.3903 2.7701
S -0.0533 1.6390 2.2539
S 3.6845 3.4999 5.2354
S 4.2956 4.0203 1.1498
S 2.0645 -1.2397 4.3903
```



TbPm3Tm3S8 | GGA-PBE | optimized geometry Values from VASP.

**SG**: No. 166
**Formation energy without anion corrections**: -30.63 eV per formula unit

Geometry as Quantum ESPRESSO input:
```
&SYSTEM
  ibrav = 0, nat = 15, ntyp = 4
/
ATOMIC_SPECIES
Tb 158.93 Tb.upf
Pm 145.00 Pm.upf
Tm 168.93 Tm.upf
S 32.06 S.upf
CELL_PARAMETERS angstrom
-3.2282 -3.0079 6.4615
0.4429 -4.3035 -6.5195
6.5823 1.6473 4.0553
ATOMIC_POSITIONS angstrom
Tb 3.2911 0.8236 2.0277
Pm 0.0000 0.0000 0.0000
Pm 0.2215 -2.1517 -3.2597
Pm -1.3926 -3.6557 -0.0290
Tm 1.6771 -0.6803 5.2584
Tm 1.8985 -2.8321 1.9987
Tm 3.5126 -1.3281 -1.2321
S 1.1595 -2.5300 -0.5986
S 2.6376 -3.1341 4.5960
S -0.4777 -3.9760 2.6477
S 4.2748 -1.6882 1.3497
S -0.6939 -1.8750 5.8305
S 4.4910 -3.7892 -1.8332
S 0.8821 -0.4064 2.6759
S 2.9150 -5.2577 1.3214
```



TbPm4TmS8 | GGA-PBE | optimized geometry Values from VASP.

**SG**: No. 160
**Formation energy without anion corrections**: -26.87 eV per formula unit

Geometry as Quantum ESPRESSO input:
```
&SYSTEM
  ibrav = 0, nat = 14, ntyp = 4
/
ATOMIC_SPECIES
Tb 158.93 Tb.upf
Pm 145.00 Pm.upf
Tm 168.93 Tm.upf
S 32.06 S.upf
CELL_PARAMETERS angstrom
8.1997 0.0000 0.0000
4.0999 7.1012 0.0000
4.0999 2.3671 6.6822
ATOMIC_POSITIONS angstrom
Tb 4.0999 2.3671 6.6564
Pm 8.1997 4.7341 0.8456
Pm 4.0999 4.7078 3.3481
Pm 6.1270 1.1967 3.3481
Pm 2.0727 1.1967 3.3481
Tm 8.1997 4.7341 5.8402
S 8.1997 7.1926 5.0304
S 10.3288 3.5049 5.0304
S 6.0706 3.5049 5.0304
S 4.0999 2.3671 1.7242
S 8.1997 2.1803 1.6853
S 5.9880 6.0110 1.6853
S 10.4114 6.0110 1.6853
S 12.2996 7.1012 4.8587
```



TbPm4Tm3S8 | GGA-PBE | optimized geometry Values from VASP.

**SG**: No. 166
**Formation energy without anion corrections**: -31.93 eV per formula unit

Geometry as Quantum ESPRESSO input:
```
&SYSTEM
  ibrav = 0, nat = 16, ntyp = 4
/
ATOMIC_SPECIES
Tb 158.93 Tb.upf
Pm 145.00 Pm.upf
Tm 168.93 Tm.upf
S 32.06 S.upf
CELL_PARAMETERS angstrom
-1.6662 -3.0436 7.0180
7.4315 -2.8437 0.5311
-1.1070 7.6378 -1.3172
ATOMIC_POSITIONS angstrom
Tb 3.7157 -1.4218 0.2656
Pm -0.8331 -1.5218 3.5090
Pm -1.3866 2.2971 2.8504
Pm 0.0000 0.0000 0.0000
Pm -0.5535 3.8189 -0.6586
Tm 2.8826 -2.9437 3.7745
Tm 2.3291 0.8752 3.1160
Tm 3.1622 2.3971 -0.3930
S 3.9452 4.7016 0.8189
S 4.4919 0.9292 1.4695
S 1.0079 2.3713 1.2677
S 3.1222 3.1983 4.2852
S 1.5360 -1.4478 1.9467
S 3.6503 -0.6208 4.9642
S 0.1663 0.8213 4.7625
S 0.7131 -2.9512 5.4130
```



Tb4PmTm3S8 | GGA-PBE | optimized geometry Values from VASP.

**SG**: No. 166
**Formation energy without anion corrections**: -31.60 eV per formula unit

Geometry as Quantum ESPRESSO input:
```
&SYSTEM
  ibrav = 0, nat = 16, ntyp = 4
/
ATOMIC_SPECIES
Tb 158.93 Tb.upf
Pm 145.00 Pm.upf
Tm 168.93 Tm.upf
S 32.06 S.upf
CELL_PARAMETERS angstrom
7.8200 0.0000 0.0000
0.0000 7.8227 -0.0047
-3.9100 -3.9069 5.5328
ATOMIC_POSITIONS angstrom
Tb 3.9100 0.0000 0.0000
Tb 1.9550 -1.9534 2.7664
Tb 0.0000 0.0000 0.0000
Tb -1.9550 -1.9534 2.7664
Pm 0.0000 3.9114 -0.0024
Tm 3.9100 3.9114 -0.0024
Tm 1.9550 1.9579 2.7640
Tm -1.9550 1.9579 2.7640
S -1.9055 1.9622 5.4955
S 0.0000 3.8659 2.7994
S 0.0000 0.0483 2.7981
S 1.9055 1.9622 5.4955
S 2.0045 1.9537 0.0326
S 3.9100 3.8676 2.7300
S 3.9100 0.0500 2.7287
S 5.8155 1.9537 0.0326
```



TbPmTm4S8 | GGA-PBE | optimized geometry Values from VASP.

**SG**: No. 160
**Formation energy without anion corrections**: -26.85 eV per formula unit

Geometry as Quantum ESPRESSO input:
```
&SYSTEM
  ibrav = 0, nat = 14, ntyp = 4
/
ATOMIC_SPECIES
Tb 158.93 Tb.upf
Pm 145.00 Pm.upf
Tm 168.93 Tm.upf
S 32.06 S.upf
CELL_PARAMETERS angstrom
-2.5885 6.8241 3.2698
-7.0235 0.1918 3.8202
-0.1856 0.7872 7.9906
ATOMIC_POSITIONS angstrom
Tb -9.6072 7.0134 7.0989
Pm -3.7576 3.3150 9.6677
Tm -6.0358 4.4859 5.4205
Tm -6.2055 7.3096 9.1734
Tm -8.4118 4.0102 9.4473
Tm -9.6995 7.4050 11.0739
S -6.2574 2.3805 9.6390
S -3.8626 5.9619 9.3418
S -2.4649 2.2770 7.5762
S -2.3378 1.8934 3.9782
S -3.6208 5.3925 5.4402
S -5.9385 1.9266 5.7278
S -7.2912 5.4927 7.4366
S -7.4170 5.8877 11.1819
```



Tb3Pm3TmS8 | GGA-PBE | optimized geometry Values from VASP.

**SG**: No. 166
**Formation energy without anion corrections**: -30.92 eV per formula unit

Geometry as Quantum ESPRESSO input:
```
&SYSTEM
  ibrav = 0, nat = 15, ntyp = 4
/
ATOMIC_SPECIES
Tb 158.93 Tb.upf
Pm 145.00 Pm.upf
Tm 168.93 Tm.upf
S 32.06 S.upf
CELL_PARAMETERS angstrom
7.9070 0.0000 0.0000
-3.9535 6.8477 -0.0237
0.0000 -4.5424 6.5330
ATOMIC_POSITIONS angstrom
Tb 3.9535 -2.2712 3.2665
Tb 1.9767 1.1526 3.2546
Tb -1.9767 1.1526 3.2546
Pm 0.0000 0.0000 0.0000
Pm -1.9767 3.4238 -0.0119
Pm 1.9767 3.4238 -0.0119
Tm 0.0000 -2.2712 3.2665
S 0.0000 2.2885 1.6835
S 3.9535 0.0168 4.8257
S 3.9535 2.3131 1.6993
S 0.0000 -0.0078 4.8099
S 5.9516 -1.1477 1.7114
S -1.9981 3.4529 4.7978
S 1.9554 -1.1477 1.7114
S 1.9981 3.4529 4.7978
```



TbPm3Tm2S6 | GGA-PBE | optimized geometry Values from VASP.

**SG**: No. 12
**Formation energy without anion corrections**: -24.05 eV per formula unit

Geometry as Quantum ESPRESSO input:
```
&SYSTEM
  ibrav = 0, nat = 12, ntyp = 4
/
ATOMIC_SPECIES
Tb 158.93 Tb.upf
Pm 145.00 Pm.upf
Tm 168.93 Tm.upf
S 32.06 S.upf
CELL_PARAMETERS angstrom
-5.5656 -0.6960 -3.8579
6.1846 -0.3365 -2.8250
-0.0980 -6.1136 3.2424
ATOMIC_POSITIONS angstrom
Tb 0.0000 0.0000 0.0000
Pm 4.2057 -3.4524 -1.3734
Pm -3.6847 -3.6938 -2.0670
Pm 0.2605 -3.5731 -1.7202
Tm 2.2651 -0.4565 -3.1695
Tm -1.6461 -0.5761 -3.5133
S -1.5975 -5.5163 -2.7234
S 0.4347 -2.1869 -4.1840
S 2.1186 -1.6299 -0.7170
S 2.3794 -5.3946 -2.3738
S 0.0864 -4.9593 0.7436
S -1.8584 -1.7516 -1.0666
```



Tb3PmTm2S6 | GGA-PBE | optimized geometry Values from VASP.

**SG**: No. 12
**Formation energy without anion corrections**: -23.86 eV per formula unit

Geometry as Quantum ESPRESSO input:
```
&SYSTEM
  ibrav = 0, nat = 12, ntyp = 4
/
ATOMIC_SPECIES
Tb 158.93 Tb.upf
Pm 145.00 Pm.upf
Tm 168.93 Tm.upf
S 32.06 S.upf
CELL_PARAMETERS angstrom
-4.1995 0.2184 -5.3353
6.5238 -1.6906 -0.8548
-2.2515 -5.6583 2.9777
ATOMIC_POSITIONS angstrom
Tb 3.6698 -4.2121 -0.0880
Tb -3.5970 -2.9184 -3.1243
Tb 0.0364 -3.5652 -1.6062
Pm 0.0000 0.0000 0.0000
Tm 2.9398 -1.0525 -2.3523
Tm -0.6155 -0.4196 -3.8378
S -1.8073 -5.0179 -3.1469
S 1.1629 -2.4711 -3.8360
S 1.8801 -2.1125 -0.0655
S 1.8881 -5.6758 -1.6028
S -1.0901 -4.6594 0.6237
S -1.8153 -1.4547 -1.6095
```



Tb3Pm4TmS8 | GGA-PBE | optimized geometry Values from VASP.

**SG**: No. 166
**Formation energy without anion corrections**: -32.18 eV per formula unit

Geometry as Quantum ESPRESSO input:
```
&SYSTEM
  ibrav = 0, nat = 16, ntyp = 4
/
ATOMIC_SPECIES
Tb 158.93 Tb.upf
Pm 145.00 Pm.upf
Tm 168.93 Tm.upf
S 32.06 S.upf
CELL_PARAMETERS angstrom
-5.2881 -3.7087 -4.5504
5.5541 -0.9849 -5.6518
1.3924 -2.5744 7.3392
ATOMIC_POSITIONS angstrom
Tb 0.1330 -2.3468 -5.1011
Tb 0.8292 -3.6340 -1.4315
Tb 3.4733 -1.7796 0.8437
Pm -2.6440 -1.8543 -2.2752
Pm -1.9478 -3.1415 1.3944
Pm 0.0000 0.0000 0.0000
Pm 0.6962 -1.2872 3.6696
Tm 2.7770 -0.4925 -2.8259
S 4.1846 -4.1830 2.0199
S 3.4795 -2.8795 -1.6968
S 0.8142 -2.5036 1.0942
S 1.5066 -6.0612 -0.2845
S 0.1518 -1.2068 -2.5784
S 0.8442 -4.7644 -3.9572
S -1.8211 -4.3885 -1.1662
S -2.5262 -3.0849 -4.8828
```



TbPmTm2S4 | GGA-PBE | optimized geometry Values from VASP.

**SG**: No. 10
**Formation energy without anion corrections**: -15.82 eV per formula unit

Geometry as Quantum ESPRESSO input:
```
&SYSTEM
  ibrav = 0, nat = 8, ntyp = 4
/
ATOMIC_SPECIES
Tb 158.93 Tb.upf
Pm 145.00 Pm.upf
Tm 168.93 Tm.upf
S 32.06 S.upf
CELL_PARAMETERS angstrom
-3.4885 1.6449 0.1248
-0.2445 -1.0342 6.7979
2.6405 5.3642 3.1079
ATOMIC_POSITIONS angstrom
Tb 1.1980 2.1651 4.9528
Pm -1.8665 0.3054 3.4613
Tm 2.6405 5.3642 3.1079
Tm -0.4240 3.5045 1.6163
S 1.7686 3.1816 7.5045
S -2.8610 2.7934 2.5261
S -1.2710 1.3742 6.0199
S 0.1785 4.6007 4.0106
```



Tb2PmUS8 | GGA-PBE | optimized geometry Values from VASP.

**SG**: No. 10
**Formation energy without anion corrections**: -17.86 eV per formula unit

Geometry as Quantum ESPRESSO input:
```
&SYSTEM
  ibrav = 0, nat = 12, ntyp = 4
/
ATOMIC_SPECIES
Tb 158.93 Tb.upf
Pm 145.00 Pm.upf
U 238.03 U.upf
S 32.06 S.upf
CELL_PARAMETERS angstrom
6.3172 -0.0484 -0.0040
-0.0272 5.9659 -0.0046
0.0048 0.0117 8.2579
ATOMIC_POSITIONS angstrom
Tb 3.1480 2.9657 6.2266
Tb 3.1467 2.9635 2.0227
Pm 0.0024 0.0059 4.1290
U 0.0000 0.0000 0.0000
S 0.8193 4.4837 1.8996
S 4.1561 4.4951 8.2496
S 5.4699 1.4369 1.8966
S 5.4755 1.4455 6.3498
S 2.1386 1.4341 -0.0002
S 0.8248 4.4923 6.3527
S 3.6595 4.6755 4.1233
S 2.6352 1.2537 4.1260
```



TbPm2YS6 | GGA-PBE | optimized geometry Values from VASP.

**SG**: No. 146
**Formation energy without anion corrections**: -20.44 eV per formula unit

Geometry as Quantum ESPRESSO input:
```
&SYSTEM
  ibrav = 0, nat = 10, ntyp = 4
/
ATOMIC_SPECIES
Tb 158.93 Tb.upf
Pm 145.00 Pm.upf
Y 88.91 Y.upf
S 32.06 S.upf
CELL_PARAMETERS angstrom
7.0405 0.0005 0.0005
3.5206 6.0970 0.0003
3.5204 2.0327 6.2185
ATOMIC_POSITIONS angstrom
Tb 3.5203 2.0322 0.3273
Pm 7.0410 4.0651 2.7301
Pm 3.5205 2.0329 5.8343
Y 10.5609 6.0978 3.4300
S 5.9232 1.7736 1.5911
S 5.6145 6.1781 1.5909
S 9.5845 4.2435 1.5915
S 8.1659 5.8393 4.6985
S 8.0148 2.2034 4.6987
S 4.9418 4.1528 4.6986
```